Mn2CdFeC | PBE | optimized geometry

a b c (Å): 3.9872 3.9872 3.8442
angles (deg): 90.00 90.00 90.00
With the nearest neighbours (Å) after each atom.
Space group P4/mmm (No. 123)
Unique sites:
Mn1 0.0000 0.5000 0.0000  2 C 1.99
Cd1 0.0000 0.0000 0.5000  8 Mn 2.77, 4 Fe 2.82
Fe1 0.5000 0.5000 0.5000  2 C 1.92
C1 0.5000 0.5000 0.0000  2 Fe 1.92, 4 Mn 1.99

DFT formation energy = 0.11 eV/atom